# 1
KBiSb3, relaxed, DFT GGA-PBE; mass density = 5.30 g cm⁻³; SG = No. 221; offset from the most stable computed form = 0.799 eV/atom; E_form (uncorrected) = 1.2480 eV per atom
1.0
-1.8871 4.4370 -3.1722
-5.0417 -2.6997 -0.7769
-2.0811 2.5171 4.7586
Sb K Bi
3 1 1
direct
0.0000 0.5000 0.0000
0.0000 0.0000 0.5000
0.5000 0.0000 0.0000
0.0000 0.0000 0.0000
0.5000 0.5000 0.5000


# 2
Nd2CdPb4, relaxed, DFT GGA-PBE; mass density = 9.41 g cm⁻³; SG = No. 65; offset from the most stable computed form = 0.000 eV/atom; formation energy from the elements = -0.35 eV per atom
1.0
-0.5151 2.7236 3.9628
-6.4490 -1.7884 0.3908
2.0099 -5.1456 3.7978
Pb Nd Cd
4 2 1
direct
0.0000 0.7570 0.7570
0.0000 0.2430 0.2430
0.5000 0.0000 0.5000
0.5000 0.5000 0.0000
0.0000 0.7508 0.2492
0.0000 0.2492 0.7508
0.5000 0.5000 0.5000


# 3
PrEr5Tl5, relaxed, DFT GGA-PBE; mass density = 9.86 g cm⁻³; SG = No. 12; formation energy from the elements = -0.08 eV per atom
1.0
-2.6952 -2.0052 -4.9652
3.5026 -6.3702 4.2903
-6.3610 0.1827 3.3790
Pr Er Tl
1 5 5
direct
0.0000 0.0000 0.0000
0.6308 0.2616 0.4016
0.6781 0.3562 0.9091
0.0000 0.0000 0.5000
0.3219 0.6438 0.0909
0.3692 0.7384 0.5984
0.8227 0.6455 0.2584
0.8267 0.6534 0.6945
0.5000 0.0000 0.0000
0.1733 0.3466 0.3055
0.1773 0.3545 0.7416


# 4
Sm6SbP2S3, relaxed, DFT GGA-PBE; mass density = 6.57 g cm⁻³; SG = No. 12; E_form (uncorrected) = -1.7407 eV per atom
1.0
4.1236 0.0000 0.0000
0.0000 8.2691 0.3291
-2.0618 -2.3506 8.6748
Sm Sb P S
6 1 2 3
direct
0.3263 0.9030 0.6525
0.6696 0.5789 0.3391
0.6737 0.0970 0.3475
0.0036 0.2692 0.0072
0.9964 0.7308 0.9928
0.3304 0.4211 0.6609
0.5000 0.0000 0.0000
0.8323 0.6647 0.6645
0.1677 0.3353 0.3355
0.5000 0.5000 0.0000
0.8355 0.1673 0.6711
0.1645 0.8327 0.3289


Q: Which calculated total energy values were calculated for the entries above? A: -2.221, -3.960, -3.660, -6.377, in eV per atom.